{
  "formula": "BeAs3Au",
  "functional": "PBEsol",
  "state": "optimized geometry",
  "sg": "No. 221",
  "formation_enthalpy_0k_ev_per_atom": 0.56,
  "total_energy_ev_per_cell": -20.43,
  "crystal_system": "cubic",
  "rho_kg_m3": 8221,
  "lattice_angstrom": [[4.431, 0.000, 0.000], [0.000, 4.431, 0.000], [0.000, 0.000, 4.431]],
  "species": ["Be", "As", "As", "As", "Au"],
  "frac_coords": [[0.000, 0.000, 0.000], [0.000, 0.000, 0.500], [0.000, 0.500, 0.000], [0.500, 0.000, 0.000], [0.500, 0.500, 0.500]]
}

=====

{
  "formula": "BeAs2Au",
  "functional": "PBEsol",
  "state": "optimized geometry",
  "sg": "No. 10",
  "formation_enthalpy_0k_ev_per_atom": 0.20,
  "total_energy_ev_per_cell": -17.34,
  "crystal_system": "monoclinic",
  "rho_kg_m3": 8696,
  "lattice_angstrom": [[4.280, 0.000, 0.000], [0.000, 3.602, 0.000], [-1.160, 0.000, 4.407]],
  "species": ["Be", "As", "As", "Au"],
  "frac_coords": [[0.000, 0.000, 0.000], [0.249, 0.500, 0.796], [0.751, 0.500, 0.204], [0.500, 0.000, 0.500]]
}

=====

{
  "formula": "Be2AsAu2",
  "functional": "PBEsol",
  "state": "optimized geometry",
  "sg": "No. 127",
  "formation_enthalpy_0k_ev_per_atom": 0.08,
  "total_energy_ev_per_cell": -41.09,
  "crystal_system": "tetragonal",
  "rho_kg_m3": 11422,
  "lattice_angstrom": [[7.171, 0.000, 0.000], [0.000, 7.171, 0.000], [0.000, 0.000, 2.753]],
  "species": ["Be", "Be", "Be", "Be", "As", "As", "Au", "Au", "Au", "Au"],
  "frac_coords": [[0.149, 0.351, 0.000], [0.351, 0.851, 0.000], [0.649, 0.149, 0.000], [0.851, 0.649, 0.000], [0.000, 0.000, 0.000], [0.500, 0.500, 0.000], [0.143, 0.643, 0.500], [0.357, 0.143, 0.500], [0.643, 0.857, 0.500], [0.857, 0.357, 0.500]]
}

=====

{
  "formula": "BeAs2Au",
  "functional": "PBEsol",
  "state": "optimized geometry",
  "sg": "No. 65",
  "formation_enthalpy_0k_ev_per_atom": 0.36,
  "total_energy_ev_per_cell": -16.69,
  "crystal_system": "orthorhombic",
  "rho_kg_m3": 8941,
  "lattice_angstrom": [[2.584, -3.547, 0.000], [2.584, 3.547, 0.000], [0.000, 0.000, 3.606]],
  "species": ["Be", "As", "As", "Au"],
  "frac_coords": [[0.000, 0.000, 0.000], [0.000, 0.500, 0.500], [0.500, 0.000, 0.500], [0.500, 0.500, 0.000]]
}

=====

{
  "formula": "BeAs2Au",
  "functional": "PBEsol",
  "state": "optimized geometry",
  "sg": "No. 71",
  "formation_enthalpy_0k_ev_per_atom": 0.12,
  "total_energy_ev_per_cell": -17.65,
  "crystal_system": "orthorhombic",
  "rho_kg_m3": 8861,
  "lattice_angstrom": [[-1.522, 1.957, 5.597], [1.522, -1.957, 5.597], [1.522, 1.957, -5.597]],
  "species": ["Be", "As", "As", "Au"],
  "frac_coords": [[0.000, 0.000, 0.000], [0.165, 0.665, 0.500], [0.835, 0.335, 0.500], [0.500, 0.500, 0.000]]
}

=====

{
  "formula": "BeAsAu2",
  "functional": "PBEsol",
  "state": "optimized geometry",
  "sg": "No. 139",
  "e_above_lowest_polymorph_ev_per_fu": 0.00,
  "formation_enthalpy_0k_ev_per_atom": 0.23,
  "total_energy_ev_per_cell": -16.05,
  "crystal_system": "tetragonal",
  "rho_kg_m3": 12684,
  "lattice_angstrom": [[-1.981, 1.981, 3.987], [1.981, -1.981, 3.987], [1.981, 1.981, -3.987]],
  "species": ["Be", "As", "Au", "Au"],
  "frac_coords": [[0.000, 0.000, 0.000], [0.500, 0.500, 0.000], [0.250, 0.750, 0.500], [0.750, 0.250, 0.500]]
}

=====

{
  "formula": "BeAs2Au",
  "functional": "PBEsol",
  "state": "optimized geometry",
  "sg": "No. 47",
  "formation_enthalpy_0k_ev_per_atom": 0.33,
  "total_energy_ev_per_cell": -16.80,
  "crystal_system": "orthorhombic",
  "rho_kg_m3": 9230,
  "lattice_angstrom": [[2.711, 0.000, 0.000], [0.000, 3.301, 0.000], [0.000, 0.000, 7.154]],
  "species": ["Be", "As", "As", "Au"],
  "frac_coords": [[0.000, 0.000, 0.000], [0.500, 0.500, 0.204], [0.500, 0.500, 0.796], [0.000, 0.000, 0.500]]
}

=====

{
  "formula": "BiAsAuBr2",
  "functional": "PBEsol",
  "state": "optimized geometry",
  "sg": "No. 123",
  "raw_formation_energy_ev_per_atom": 0.337,
  "total_energy_ev_per_cell": -15.37,
  "crystal_system": "tetragonal",
  "rho_kg_m3": 8015,
  "lattice_angstrom": [[5.071, 0.000, 0.000], [0.000, 5.071, 0.000], [0.000, 0.000, 5.162]],
  "species": ["Bi", "As", "Au", "Br", "Br"],
  "frac_coords": [[0.000, 0.000, 0.000], [0.500, 0.500, 0.000], [0.500, 0.500, 0.500], [0.000, 0.500, 0.500], [0.500, 0.000, 0.500]]
}

=====

{
  "formula": "BiAs2AuI",
  "functional": "PBEsol",
  "state": "optimized geometry",
  "sg": "No. 123",
  "raw_formation_energy_ev_per_atom": 1.241,
  "total_energy_ev_per_cell": -13.99,
  "crystal_system": "tetragonal",
  "rho_kg_m3": 6506,
  "lattice_angstrom": [[5.417, 0.000, 0.000], [0.000, 5.417, 0.000], [0.000, 0.000, 5.938]],
  "species": ["Bi", "As", "As", "Au", "I"],
  "frac_coords": [[0.000, 0.000, 0.000], [0.000, 0.500, 0.000], [0.500, 0.000, 0.000], [0.500, 0.500, 0.500], [0.000, 0.000, 0.500]]
}

=====

{
  "formula": "As2AuBr",
  "functional": "PBEsol",
  "state": "optimized geometry",
  "sg": "No. 123",
  "raw_formation_energy_ev_per_atom": 0.295,
  "total_energy_ev_per_cell": -14.83,
  "crystal_system": "tetragonal",
  "rho_kg_m3": 8947,
  "lattice_angstrom": [[3.213, 0.000, 0.000], [0.000, 3.213, 0.000], [0.000, 0.000, 7.670]],
  "species": ["As", "As", "Au", "Br"],
  "frac_coords": [[0.000, 0.000, 0.216], [0.000, 0.000, 0.784], [0.500, 0.500, 0.000], [0.500, 0.500, 0.500]]
}

=====

{
  "formula": "CaAs2AuBr",
  "functional": "PBEsol",
  "state": "optimized geometry",
  "sg": "No. 123",
  "raw_formation_energy_ev_per_atom": 0.694,
  "total_energy_ev_per_cell": -14.67,
  "crystal_system": "tetragonal",
  "rho_kg_m3": 5174,
  "lattice_angstrom": [[5.383, 0.000, 0.000], [0.000, 5.383, 0.000], [0.000, 0.000, 5.169]],
  "species": ["Ca", "As", "As", "Au", "Br"],
  "frac_coords": [[0.000, 0.000, 0.000], [0.000, 0.500, 0.000], [0.500, 0.000, 0.000], [0.500, 0.500, 0.500], [0.000, 0.000, 0.500]]
}

=====

{
  "formula": "CuAs2AuBr",
  "functional": "PBEsol",
  "state": "optimized geometry",
  "sg": "No. 123",
  "e_above_lowest_polymorph_ev_per_fu": 1.43,
  "raw_formation_energy_ev_per_atom": 1.056,
  "total_energy_ev_per_cell": -15.06,
  "crystal_system": "tetragonal",
  "rho_kg_m3": 6365,
  "lattice_angstrom": [[4.951, 0.000, 0.000], [0.000, 4.951, 0.000], [0.000, 0.000, 5.216]],
  "species": ["Cu", "As", "As", "Au", "Br"],
  "frac_coords": [[0.000, 0.000, 0.000], [0.000, 0.500, 0.500], [0.500, 0.000, 0.500], [0.500, 0.500, 0.500], [0.500, 0.500, 0.000]]
}

=====

{
  "formula": "CuAs2AuBr",
  "functional": "PBEsol",
  "state": "optimized geometry",
  "sg": "No. 123",
  "e_above_lowest_polymorph_ev_per_fu": 0.00,
  "raw_formation_energy_ev_per_atom": 0.770,
  "total_energy_ev_per_cell": -16.49,
  "crystal_system": "tetragonal",
  "rho_kg_m3": 6910,
  "lattice_angstrom": [[4.933, 0.000, 0.000], [0.000, 4.933, 0.000], [0.000, 0.000, 4.841]],
  "species": ["Cu", "As", "As", "Au", "Br"],
  "frac_coords": [[0.000, 0.000, 0.000], [0.000, 0.500, 0.500], [0.500, 0.000, 0.500], [0.000, 0.000, 0.500], [0.500, 0.500, 0.000]]
}

=====

{
  "formula": "AsAuBr2F",
  "functional": "PBEsol",
  "state": "optimized geometry",
  "sg": "No. 123",
  "e_above_lowest_polymorph_ev_per_fu": 0.00,
  "raw_formation_energy_ev_per_atom": 0.231,
  "total_energy_ev_per_cell": -13.54,
  "crystal_system": "tetragonal",
  "rho_kg_m3": 6807,
  "lattice_angstrom": [[5.390, 0.000, 0.000], [0.000, 5.390, 0.000], [0.000, 0.000, 3.784]],
  "species": ["As", "Au", "Br", "Br", "F"],
  "frac_coords": [[0.000, 0.000, 0.000], [0.500, 0.500, 0.000], [0.000, 0.500, 0.500], [0.500, 0.000, 0.500], [0.000, 0.000, 0.500]]
}